Material: PrDy12Y6
Method: DFT, PBE
State: relaxed

Lattice parameters (Å, degrees): 11.9642 11.9642 15.1164 90.00 90.00 120.00
Space group R-3 (No. 148, hexagonal axes)
Asymmetric unit:
Pr 0.0000 0.0000 0.0000 (multiplicity 3)
Dy 0.0203 0.8384 0.1925 (multiplicity 18)
Dy 0.0402 0.8514 0.4164 (multiplicity 18)
Y 0.0075 0.4210 0.6788 (multiplicity 18)

Polymorph energy (0 for the lowest one) in meV/atom: 0
Energy relative to the elements in eV/f.u.: 2.99